# 1
The following is a GGA-PBE calculation of MoIBr2Cl2 after structural relaxation, from OQMD.

Values from the calculation:
space group: P-1, No. 2
total energy: -3.756 eV/atom

a b c (Å): 6.518 7.066 9.839
angles (deg): 107.49 92.46 114.84
Site moments in Bohr magnetons follow the coordinates.
Atoms (fractional coordinates):
Cl 0.291 0.007 0.239  0.00
Cl 0.107 0.633 0.861  0.00
Cl 0.709 0.993 0.761  0.00
Br 0.755 0.818 0.045  -0.01
Mo 0.895 0.789 0.790  0.94
Br 0.444 0.567 0.329  0.02
Cl 0.893 0.367 0.139  0.00
Br 0.245 0.182 0.955  -0.01
I 0.077 0.803 0.557  -0.05
Mo 0.105 0.211 0.210  0.94
Br 0.556 0.433 0.671  0.02
I 0.923 0.197 0.443  -0.05

---

# 2
The following is a GGA-PBE calculation of AlCdGaS4 after structural relaxation, from OQMD.

Values from the calculation:
space group: I-4, No. 82
total energy: -4.287 eV/atom

a b c (Å): 6.485 6.485 6.485
angles (deg): 128.57 128.57 75.71
Atoms (fractional coordinates):
S 0.623 0.112 0.961
S 0.888 0.849 0.511
S 0.151 0.662 0.039
S 0.338 0.377 0.489
Al 0.000 0.000 0.000
Cd 0.750 0.250 0.500
Ga 0.250 0.750 0.500

---

# 3
The following is a GGA-PBE calculation of CsSmZr after structural relaxation, from OQMD.

Values from the calculation:
space group: F-43m, No. 216
total energy: -3.155 eV/atom

a b c (Å): 5.769 5.769 5.769
angles (deg): 60.00 60.00 60.00
Atoms (fractional coordinates):
Cs 0.250 0.250 0.250
Zr 0.750 0.750 0.750
Sm 0.000 0.000 0.000

---

# 4
The following is a GGA-PBE calculation of RbSmBr3 after structural relaxation, from OQMD.

Values from the calculation:
space group: C2/m, No. 12
total energy: -3.801 eV/atom

a b c (Å): 7.958 7.958 6.632
angles (deg): 94.65 94.65 59.96
Atoms (fractional coordinates):
Sm 0.000 0.000 0.500
Sm 0.000 0.000 0.000
Br 0.823 0.823 0.216
Br 0.177 0.177 0.784
Br 0.175 0.647 0.733
Br 0.647 0.175 0.733
Rb 0.335 0.335 0.255
Rb 0.665 0.665 0.745
Br 0.353 0.825 0.267
Br 0.825 0.353 0.267

---

# 5
The following is a GGA-PBE calculation of PmGe4Ir6 after structural relaxation, from OQMD.

Values from the calculation:
space group: P-6m2, No. 187
total energy: -7.441 eV/atom

a b c (Å): 7.227 7.227 3.937
angles (deg): 90.00 90.00 120.00
Atoms (fractional coordinates):
Ir 0.534 0.466 0.000
Ge 0.390 0.195 0.500
Ge 0.805 0.195 0.500
Pm 0.000 0.000 0.000
Ge 0.333 0.667 0.000
Ir 0.200 0.400 0.500
Ir 0.534 0.068 0.000
Ir 0.600 0.800 0.500
Ir 0.932 0.466 0.000
Ir 0.200 0.800 0.500
Ge 0.805 0.610 0.500

---

# 6
The following is a GGA-PBE calculation of HoGeAuS3 after structural relaxation, from OQMD.

Values from the calculation:
space group: Cmcm, No. 63
total energy: -4.899 eV/atom

a b c (Å): 6.558 6.558 10.473
angles (deg): 90.00 90.00 145.98
Atoms (fractional coordinates):
S 0.353 0.647 0.059
Au 0.465 0.535 0.250
Au 0.535 0.465 0.750
S 0.353 0.647 0.441
Ho 0.000 0.000 0.000
Ge 0.762 0.238 0.250
S 0.108 0.892 0.250
Ge 0.238 0.762 0.750
S 0.892 0.108 0.750
Ho 0.000 0.000 0.500
S 0.647 0.353 0.941
S 0.647 0.353 0.559

---

# 7
The following is a GGA-PBE calculation of BaCd2Ag2 after structural relaxation, from OQMD.

Values from the calculation:
space group: I4/mmm, No. 139
total energy: -2.126 eV/atom

a b c (Å): 4.670 4.670 6.993
angles (deg): 109.51 109.51 90.00
Atoms (fractional coordinates):
Cd 0.750 0.250 0.500
Ba 0.000 0.000 0.000
Cd 0.250 0.750 0.500
Ag 0.613 0.613 0.225
Ag 0.387 0.387 0.775

---

# 8
The following is a GGA-PBE calculation of Rb4PtO4 after structural relaxation, from OQMD.

Values from the calculation:
space group: I4/m, No. 87
total energy: -4.370 eV/atom

a b c (Å): 6.431 6.431 6.431
angles (deg): 100.72 100.72 128.90
Site moments in Bohr magnetons follow the coordinates.
Atoms (fractional coordinates):
Rb 0.792 0.598 0.390  0.01
O 0.070 0.771 0.841  0.24
Rb 0.402 0.792 0.194  0.01
Rb 0.208 0.402 0.610  0.01
O 0.930 0.229 0.159  0.24
O 0.771 0.930 0.700  0.24
O 0.229 0.070 0.300  0.24
Rb 0.598 0.208 0.806  0.01
Pt 0.000 0.000 0.000  0.79